Entry 1:
5
Lattice="-2.920 -0.778 -0.652 0.085 -2.174 2.213 -3.087 5.300 7.500" Properties=species:S:1:pos:R:3 comment="Hf2TiOs2 (PBE-GGA, relaxed)" dos_at_fermi_per_ev_atom=0.655 mass_density_g_cm3=14.2 crystal_system=orthorhombic e_tot_ev_per_cell=-52.2 space_group="Cmmm (65)" pbc="T T T"
Hf -2.025 3.133 5.332
Hf -0.976 -0.008 4.382
Ti 0.000 0.000 0.000
Os -1.930 -0.430 1.828
Os -3.991 2.777 7.234

---

Entry 2:
12
Lattice="-3.469 -3.014 -0.084 1.064 -1.300 2.735 -7.886 8.872 7.284" Properties=species:S:1:pos:R:3 comment="HfTiOs (PBE-GGA, relaxed)" dos_at_fermi_per_ev_atom=0.833 mass_density_g_cm3=13.5 crystal_system=orthorhombic e_tot_ev_per_cell=-121.6 space_group="Amm2 (38)" pbc="T T T"
Hf -6.801 4.194 4.639
Hf -2.327 -0.892 2.364
Hf -4.332 1.415 2.358
Hf -7.743 5.201 7.367
Os -9.527 7.261 7.157
Os -5.053 2.175 4.882
Os -6.525 7.342 6.028
Os -2.051 2.255 3.753
Ti -1.356 1.525 1.252
Ti -4.767 5.311 6.262
Ti -3.843 4.324 3.550
Ti -7.255 8.110 8.560

---

Entry 3:
5
Lattice="-4.082 -0.007 -2.180 0.322 -4.579 -0.587 -2.156 -0.670 4.039" Properties=species:S:1:pos:R:3 comment="HfTi3Os (PBE-GGA, relaxed)" dos_at_fermi_per_ev_atom=1.288 mass_density_g_cm3=8.6 crystal_system=cubic e_tot_ev_per_cell=-36.8 space_group="Pm-3m (221)" pbc="T T T"
Hf 0.000 0.000 0.000
Os -2.958 -2.628 0.636
Ti 0.161 -2.289 -0.294
Ti -1.078 -0.335 2.020
Ti -2.041 -0.004 -1.090

---

Entry 4:
10
Lattice="-0.148 3.723 6.406 -5.860 -3.979 2.177 1.880 -2.083 1.254" Properties=species:S:1:pos:R:3 comment="HfTi2Os2 (PBE-GGA, relaxed)" dos_at_fermi_per_ev_atom=1.534 mass_density_g_cm3=12.9 crystal_system=tetragonal e_tot_ev_per_cell=-99.2 space_group="P4/mbm (127)" pbc="T T T"
Hf 0.000 0.000 0.000
Hf -3.004 -0.128 4.291
Os -5.058 -2.080 4.127
Os -3.912 0.609 6.877
Os -0.951 1.824 4.455
Os -2.097 -0.866 1.706
Ti -2.892 -3.070 3.004
Ti -4.137 -2.003 6.642
Ti -1.237 0.730 6.833
Ti 0.009 -0.336 3.195

---

Entry 5:
6
Lattice="-0.888 -0.461 -3.031 2.641 -1.718 -0.513 -4.899 -8.340 2.703" Properties=species:S:1:pos:R:3 comment="HfTiOs (PBE-GGA, relaxed)" dos_at_fermi_per_ev_atom=1.269 mass_density_g_cm3=13.5 crystal_system=tetragonal e_tot_ev_per_cell=-60.7 space_group="I4mm (107)" pbc="T T T"
Hf -4.350 -7.405 2.400
Hf -1.024 -4.324 -0.723
Os -2.712 -4.617 1.496
Os 0.614 -1.536 -1.627
Ti -0.970 -1.652 0.535
Ti -2.543 -6.911 0.115

---

Entry 6:
6
Lattice="3.195 0.000 0.000 0.000 3.195 0.000 0.000 0.000 9.649" Properties=species:S:1:pos:R:3 comment="Hf2TiOs3 (PBE-GGA, relaxed)" dos_at_fermi_per_ev_atom=0.194 mass_density_g_cm3=16.4 crystal_system=tetragonal e_tot_ev_per_cell=-65.6 space_group="P4/mmm (123)" pbc="T T T"
Hf 1.598 1.598 7.998
Hf 1.598 1.598 1.652
Ti 1.598 1.598 4.825
Os 0.000 0.000 0.000
Os 0.000 0.000 6.337
Os 0.000 0.000 3.312

---

Entry 7:
10
Lattice="6.374 0.147 -0.328 -1.603 6.171 0.328 -2.884 -2.783 5.503" Properties=species:S:1:pos:R:3 comment="Hf3TiOs (PBE-GGA, relaxed)" dos_at_fermi_per_ev_atom=1.039 mass_density_g_cm3=11.9 crystal_system=monoclinic e_tot_ev_per_cell=-98.2 space_group="C2/m (12)" pbc="T T T"
Hf 3.017 5.644 1.250
Hf 0.168 1.872 1.250
Hf 1.719 1.664 4.252
Hf 3.379 2.409 0.906
Hf -1.130 -2.109 4.252
Hf -1.491 1.126 4.597
Ti 2.124 -1.604 4.061
Ti -0.236 5.139 1.442
Os 1.685 3.688 2.368
Os 0.202 -0.153 3.135

---

Entry 8:
5
Lattice="4.985 0.000 0.000 0.000 4.985 0.000 0.000 0.000 4.985" Properties=species:S:1:pos:R:3 comment="Hf3TiOs (PBE-GGA, relaxed)" dos_at_fermi_per_ev_atom=1.390 mass_density_g_cm3=10.4 crystal_system=cubic e_tot_ev_per_cell=-46.1 space_group="Pm-3m (221)" pbc="T T T"
Hf 0.000 2.492 0.000
Hf 0.000 0.000 2.492
Hf 2.492 0.000 0.000
Os 0.000 0.000 0.000
Ti 2.492 2.492 2.492

---

Entry 9:
10
Lattice="-0.119 2.847 -4.487 -5.388 -1.534 -0.831 0.831 5.618 3.542" Properties=species:S:1:pos:R:3 comment="HfTi3Os (PBE-GGA, relaxed)" dos_at_fermi_per_ev_atom=1.100 mass_density_g_cm3=9.3 crystal_system=orthorhombic e_tot_ev_per_cell=-90.6 space_group="Cmcm (63)" pbc="T T T"
Hf -1.577 4.742 1.476
Hf -3.098 2.189 -3.252
Ti -3.926 3.076 0.481
Ti -0.749 3.854 -2.257
Ti -1.897 1.720 -0.433
Ti -2.779 5.211 -1.343
Ti -4.617 0.945 -0.852
Ti -0.059 5.985 -0.924
Os 0.000 0.000 0.000
Os -0.059 1.423 -2.244

---

Entry 10:
3
Lattice="3.026 0.000 0.000 0.000 4.421 0.000 0.000 -2.211 3.829" Properties=species:S:1:pos:R:3 comment="HfTiOs (PBE-GGA, relaxed)" dos_at_fermi_per_ev_atom=0.745 mass_density_g_cm3=13.5 crystal_system=trigonal e_tot_ev_per_cell=-30.2 space_group="P3m1 (156)" pbc="T T T"
Hf 0.930 2.211 1.276
Os 2.983 0.000 0.000
Ti 2.140 0.000 2.553

---

Entry 11:
12
Lattice="-1.461 5.372 0.005 -4.134 -1.123 -1.216 -0.728 -5.940 7.959" Properties=species:S:1:pos:R:3 comment="HfTiOs (PBE-GGA, relaxed)" dos_at_fermi_per_ev_atom=1.015 mass_density_g_cm3=13.5 crystal_system=monoclinic e_tot_ev_per_cell=-121.0 space_group="Cm (8)" pbc="T T T"
Hf -1.348 0.929 3.722
Hf -3.778 -2.602 7.093
Hf -0.343 0.243 0.941
Hf -2.774 -3.289 4.312
Os -1.080 2.893 0.999
Os -3.511 -0.639 4.370
Os -0.829 -3.702 6.237
Os -2.532 -1.294 1.649
Ti -0.532 -1.703 3.380
Ti -2.963 -5.235 6.751
Ti -1.546 -0.969 6.148
Ti -3.249 1.439 1.561

---

Entry 12:
6
Lattice="3.141 0.000 0.000 0.000 3.141 0.000 0.000 0.000 9.490" Properties=species:S:1:pos:R:3 comment="HfTi2Os3 (PBE-GGA, relaxed)" dos_at_fermi_per_ev_atom=0.224 mass_density_g_cm3=15.0 crystal_system=tetragonal e_tot_ev_per_cell=-63.5 space_group="P4/mmm (123)" pbc="T T T"
Hf 1.570 1.570 4.745
Ti 1.570 1.570 7.955
Ti 1.570 1.570 1.535
Os 0.000 0.000 0.000
Os 0.000 0.000 6.434
Os 0.000 0.000 3.057

---

Entry 13:
5
Lattice="4.288 0.000 0.000 0.000 4.288 0.000 2.144 2.144 5.608" Properties=species:S:1:pos:R:3 comment="Hf2TiOs2 (PBE-GGA, relaxed)" dos_at_fermi_per_ev_atom=1.159 mass_density_g_cm3=12.6 crystal_system=tetragonal e_tot_ev_per_cell=-49.5 space_group="I4/mmm (139)" pbc="T T T"
Hf 4.288 2.144 2.804
Hf 2.144 4.288 2.804
Os 2.144 2.144 1.214
Os 4.288 4.288 4.393
Ti 0.000 0.000 0.000

---

Entry 14:
6
Lattice="5.179 0.000 0.000 2.590 4.485 0.000 2.590 1.495 4.229" Properties=species:S:1:pos:R:3 comment="HfTiOs4 (PBE-GGA, relaxed)" dos_at_fermi_per_ev_atom=0.904 mass_density_g_cm3=16.7 crystal_system=cubic e_tot_ev_per_cell=-64.1 space_group="F-43m (216)" pbc="T T T"
Hf 2.590 1.495 1.057
Os 5.179 2.990 0.527
Os 5.179 1.494 2.643
Os 6.475 3.738 2.643
Os 3.883 3.738 2.643
Ti 0.000 0.000 0.000

---

Entry 15:
10
Lattice="-1.863 1.190 2.344 1.497 -1.882 2.145 10.813 11.653 2.675" Properties=species:S:1:pos:R:3 comment="Hf4TiOs5 (PBE-GGA, relaxed)" dos_at_fermi_per_ev_atom=0.186 mass_density_g_cm3=17.0 crystal_system=tetragonal e_tot_ev_per_cell=-110.7 space_group="P4/mmm (123)" pbc="T T T"
Hf 2.108 2.272 0.522
Hf 4.306 4.641 1.065
Hf 6.507 7.012 1.610
Hf 8.704 9.381 2.154
Ti 0.000 0.000 0.000
Os 0.828 0.744 2.495
Os 3.028 3.115 3.039
Os 5.224 5.481 3.582
Os 7.419 7.847 4.125
Os 9.619 10.218 4.670

---

Entry 16:
8
Lattice="3.213 0.000 0.000 0.000 4.554 0.000 0.000 0.000 9.091" Properties=species:S:1:pos:R:3 comment="Hf3TiOs4 (PBE-GGA, relaxed)" dos_at_fermi_per_ev_atom=0.125 mass_density_g_cm3=16.8 crystal_system=orthorhombic e_tot_ev_per_cell=-88.1 space_group="Pmmm (47)" pbc="T T T"
Os 0.000 0.000 4.545
Os 0.000 2.277 6.887
Os 0.000 0.000 0.000
Os 0.000 2.277 2.204
Hf 1.607 0.000 2.233
Hf 1.607 2.277 4.545
Hf 1.607 0.000 6.858
Ti 1.607 2.277 0.000

---

Entry 17:
80
Lattice="13.755 0.000 0.000 -4.585 12.968 0.000 -4.585 -6.484 11.231" Properties=species:S:1:pos:R:3 comment="Hf12Ti5Os3 (PBE-GGA, relaxed)" dos_at_fermi_per_ev_atom=1.430 mass_density_g_cm3=9.8 crystal_system=cubic e_tot_ev_per_cell=-688.2 space_group="Ia-3d (230)" pbc="T T T"
Os 8.023 4.052 1.404
Os 8.023 8.915 1.404
Os -1.146 5.673 7.019
Os 1.146 -0.810 4.211
Os 10.316 0.000 2.808
Os 1.146 6.484 2.808
Os 3.439 0.000 8.423
Os -5.731 6.484 8.423
Os 3.439 7.294 7.019
Os 5.731 0.810 4.211
Os -3.439 -2.431 9.827
Os -3.439 2.431 9.827
Ti -1.146 3.242 2.808
Ti -2.292 6.484 0.000
Ti 0.000 0.000 0.000
Ti 3.439 2.431 1.404
Ti 4.585 -3.242 5.615
Ti 4.585 6.484 0.000
Ti -3.439 7.294 4.211
Ti 5.731 -4.052 9.827
Ti 5.731 5.673 4.211
Ti 1.146 -3.242 8.423
Ti 3.439 9.726 2.808
Ti 2.292 3.242 5.615
Ti 6.877 0.000 0.000
Ti -2.292 -3.242 5.615
Ti -1.146 0.810 7.019
Ti -1.146 10.536 1.404
Ti -4.585 3.242 5.615
Ti 8.023 -0.810 7.019
Ti 1.146 4.052 9.827
Ti 5.731 3.242 8.423
Hf 9.123 1.238 0.833
Hf 0.046 4.582 4.960
Hf 9.822 3.029 3.007
Hf 6.225 2.152 1.489
Hf 1.874 5.229 7.390
Hf 9.450 6.216 1.775
Hf -0.652 7.361 4.496
Hf -3.933 10.816 1.489
Hf 0.418 7.739 7.390
Hf 6.597 6.752 1.775
Hf 6.923 3.139 4.127
Hf 6.923 11.730 0.833
Hf -4.167 5.772 6.448
Hf 2.572 5.081 1.119
Hf -4.631 9.828 4.127
Hf 2.339 -1.902 6.271
Hf -0.418 0.544 2.608
Hf 2.572 8.155 0.655
Hf 6.225 9.939 3.007
Hf -0.280 4.813 0.655
Hf -2.711 7.028 8.623
Hf 2.945 5.607 4.496
Hf 6.459 7.196 6.448
Hf 4.865 -1.403 10.111
Hf 1.640 0.877 6.735
Hf -1.874 -0.712 4.782
Hf -0.280 7.887 1.119
Hf -1.640 -3.455 8.223
Hf 7.296 -0.544 2.608
Hf 4.865 1.671 10.575
Hf 2.012 -1.671 10.575
Hf 2.246 8.386 4.960
Hf 5.003 5.940 8.623
Hf 9.216 -3.344 7.104
Hf 8.751 0.712 4.782
Hf -2.339 -5.246 10.398
Hf 2.012 1.403 10.111
Hf 4.167 -1.255 3.840
Hf -2.012 -0.268 9.456
Hf -2.339 3.344 7.104
Hf 8.518 -4.332 9.742
Hf 5.237 -0.877 6.735
Hf -1.640 4.332 9.742
Hf -4.865 0.268 9.456
Hf 2.711 1.255 3.840
Hf -5.237 3.455 8.223
Hf 4.539 1.902 6.271
Hf -4.539 5.246 10.398

---

Entry 18:
5
Lattice="-2.108 -0.078 -4.234 4.122 -1.126 -2.031 -0.974 -4.594 0.570" Properties=species:S:1:pos:R:3 comment="Hf3TiOs (PBE-GGA, relaxed)" dos_at_fermi_per_ev_atom=0.859 mass_density_g_cm3=12.1 crystal_system=cubic e_tot_ev_per_cell=-42.7 space_group="Pm-3m (221)" pbc="T T T"
Hf 2.061 -0.563 -1.016
Hf -0.487 -2.297 0.285
Hf -1.054 -0.039 -2.117
Os 0.520 -2.899 -2.848
Ti 0.000 0.000 0.000

---

Entry 19:
6
Lattice="4.597 0.043 -2.517 -3.004 4.290 -0.199 0.046 -0.043 5.241" Properties=species:S:1:pos:R:3 comment="HfTiOs (PBE-GGA, relaxed)" dos_at_fermi_per_ev_atom=0.522 mass_density_g_cm3=13.3 crystal_system=orthorhombic e_tot_ev_per_cell=-61.2 space_group="Imma (74)" pbc="T T T"
Hf 0.831 0.485 3.903
Hf 0.808 3.806 -1.378
Ti 0.820 2.145 1.262
Ti -1.502 2.145 -0.100
Os -1.479 2.124 2.521
Os 2.322 0.000 1.362

---

Entry 20:
12
Lattice="4.612 0.000 0.000 0.000 3.203 0.000 0.000 0.000 13.871" Properties=species:S:1:pos:R:3 comment="HfTiOs (PBE-GGA, relaxed)" dos_at_fermi_per_ev_atom=0.823 mass_density_g_cm3=13.5 crystal_system=orthorhombic e_tot_ev_per_cell=-121.9 space_group="Amm2 (38)" pbc="T T T"
Hf 0.000 0.000 12.500
Hf 0.000 1.602 5.565
Hf 2.306 0.000 10.250
Hf 2.306 1.602 3.315
Os 2.306 0.000 5.589
Os 2.306 1.602 12.525
Os 0.000 0.000 7.826
Os 0.000 1.602 0.890
Ti 2.306 0.000 0.820
Ti 2.306 1.602 7.755
Ti 0.000 0.000 2.922
Ti 0.000 1.602 9.857

---

Entry 21:
6
Lattice="3.246 0.000 0.000 0.000 3.246 0.000 0.000 0.000 10.290" Properties=species:S:1:pos:R:3 comment="Hf3TiOs2 (PBE-GGA, relaxed)" dos_at_fermi_per_ev_atom=1.008 mass_density_g_cm3=14.8 crystal_system=tetragonal e_tot_ev_per_cell=-62.9 space_group="P4/mmm (123)" pbc="T T T"
Hf 0.000 0.000 0.000
Hf 0.000 0.000 7.038
Hf 0.000 0.000 3.252
Ti 1.623 1.623 5.145
Os 1.623 1.623 8.652
Os 1.623 1.623 1.637

---

Entry 22:
7
Lattice="-2.579 2.471 2.947 1.700 1.170 4.145 2.423 7.488 -0.521" Properties=species:S:1:pos:R:3 comment="Hf4TiOs2 (PBE-GGA, relaxed)" dos_at_fermi_per_ev_atom=0.981 mass_density_g_cm3=13.8 crystal_system=trigonal e_tot_ev_per_cell=-72.3 space_group="R-3m (166)" pbc="T T T"
Hf 0.176 6.079 5.971
Hf 1.368 5.050 0.600
Hf -0.191 3.339 4.309
Hf 1.736 7.790 2.262
Ti 0.000 0.000 0.000
Os 1.178 8.392 4.907
Os 0.366 2.737 1.664